# 1
# Pm5Nd6Sm (PBE, optimized geometry)
data_Pm5Nd6Sm
_space_group_name_H-M_alt 'C 1 2/m 1'
_space_group_IT_number 12
_cell_length_a 6.353
_cell_length_b 11.005
_cell_length_c 12.144
_cell_angle_alpha 90.00
_cell_angle_beta 100.11
_cell_angle_gamma 90.00
loop_
_space_group_symop_operation_xyz
'x,y,z'
'-x,-y,-z'
'-x,y,-z'
'x,-y,z'
'x+1/2,y+1/2,z'
'-x+1/2,-y+1/2,-z'
'-x+1/2,y+1/2,-z'
'x+1/2,-y+1/2,z'
loop_
_atom_site_label
_atom_site_fract_x
_atom_site_fract_y
_atom_site_fract_z
Pm1 0.000 0.000 0.000
Pm2 0.000 0.167 0.500
Pm3 0.000 0.333 0.000
Nd1 0.249 0.000 0.750
Nd2 0.249 0.333 0.750
Sm1 0.000 0.500 0.500
# E_form: 0.01 eV/atom
# Size of the total moment: 0.0 μB per formula unit



# 2
# Ce4PrNd3S8 (PBE, optimized geometry)
data_Ce4PrNd3S8
_space_group_name_H-M_alt 'R -3 m'
_space_group_IT_number 166
_space_group_name_Hall '-R 3 2"'
_cell_length_a 8.1060
_cell_length_b 8.1060
_cell_length_c 19.8613
_cell_angle_alpha 90.00
_cell_angle_beta 90.00
_cell_angle_gamma 120.00
loop_
_atom_site_label
_atom_site_fract_x
_atom_site_fract_y
_atom_site_fract_z
Ce1 0.0000 0.0000 0.0000
Ce2 0.0000 0.5000 0.0000
Pr1 0.0000 0.0000 0.5000
Nd1 0.0000 0.5000 0.5000
S1 0.0000 0.0000 0.2510
S2 0.0014 0.5007 0.7486
# Energy relative to the elements, uncorrected: -196.66 kJ/mol of atoms
# Size of the total moment: 3.0 μB per formula unit



# 3
# PmSnF (PBE, optimized geometry)
data_PmSnF
_space_group_name_H-M_alt 'I 4 m m'
_space_group_IT_number 107
_space_group_name_Hall 'I 4 -2'
_cell_length_a 3.382
_cell_length_b 3.382
_cell_length_c 11.935
_cell_angle_alpha 90.00
_cell_angle_beta 90.00
_cell_angle_gamma 90.00
loop_
_atom_site_label
_atom_site_fract_x
_atom_site_fract_y
_atom_site_fract_z
Pm1 0.000 0.000 0.000
Sn1 0.000 0.000 0.286
F1 0.000 0.000 0.552
# Energy relative to the elements, uncorrected: -170.08 kJ/mol of atoms
# Energy above the most stable polymorph in this dataset: 14.3 kJ/mol of atoms
# Size of the total moment: 0.0 μB per formula unit



# 4
# CeSm3 (PBE, optimized geometry)
data_CeSm3
_space_group_name_H-M_alt 'I m m 2'
_space_group_IT_number 44
_cell_length_a 3.612
_cell_length_b 11.683
_cell_length_c 6.309
_cell_angle_alpha 90.00
_cell_angle_beta 90.00
_cell_angle_gamma 90.00
loop_
_space_group_symop_operation_xyz
'x,y,z'
'-x,-y,z'
'-x,y,z'
'x,-y,z'
'x+1/2,y+1/2,z+1/2'
'-x+1/2,-y+1/2,z+1/2'
'-x+1/2,y+1/2,z+1/2'
'x+1/2,-y+1/2,z+1/2'
loop_
_atom_site_label
_atom_site_fract_x
_atom_site_fract_y
_atom_site_fract_z
Ce1 0.000 0.000 0.000
Sm1 0.000 0.251 0.667
Sm2 0.000 0.500 0.996
# E_form: 0.09 eV/atom
# Energy above the most stable polymorph in this dataset: 1.1 kJ/mol of atoms
# Size of the total moment: 1.1 μB per formula unit



# 5
# Hg2PtCl (PBE, optimized geometry)
data_Hg2PtCl
_space_group_name_H-M_alt 'I m m 2'
_space_group_IT_number 44
_cell_length_a 3.264
_cell_length_b 4.198
_cell_length_c 14.467
_cell_angle_alpha 90.00
_cell_angle_beta 90.00
_cell_angle_gamma 90.00
loop_
_space_group_symop_operation_xyz
'x,y,z'
'-x,-y,z'
'-x,y,z'
'x,-y,z'
'x+1/2,y+1/2,z+1/2'
'-x+1/2,-y+1/2,z+1/2'
'-x+1/2,y+1/2,z+1/2'
'x+1/2,-y+1/2,z+1/2'
loop_
_atom_site_label
_atom_site_fract_x
_atom_site_fract_y
_atom_site_fract_z
Hg1 0.000 0.000 0.000
Hg2 0.000 0.500 0.203
Pt1 0.000 0.000 0.548
Cl1 0.000 0.500 0.795
# Energy relative to the elements, uncorrected: -2.29 kJ/mol of atoms
# Energy above the most stable polymorph in this dataset: 3.3 kJ/mol of atoms
# Size of the total moment: 0.0 μB per formula unit



Q: What is the size of the total moment in the fifth record?
A: 0.0 μB per formula unit



Q: Number 2 is which compound?
A: Ce4PrNd3S8



Q: What is the formula in the first record?
A: Pm5Nd6Sm